Density functional theory data (PBE-GGA) for PaBRh after structural relaxation.

size of the total moment	0.000	μB per atom
crystal system	tetragonal
raw total energy	-24.1	eV for the cell shown
density of states at the Fermi level	1.365	states/eV/atom

```
PaBRh
1.0
-1.4670 1.4670 5.2033
1.4670 -1.4670 5.2033
1.4670 1.4670 -5.2033
Pa B Rh
1 1 1
Cartesian
0.0000 0.0000 0.0000
0.0000 0.0000 3.2456
0.0000 0.0000 7.5194
```